(1)
MgZr2HgS, relaxed, DFT PBE; energy relative to the elements, uncorrected = -0.373 eV/atom; crystal system = tetragonal; space group = P4/mmm (123)
1.0
-2.107 1.672 -4.017
1.593 -3.734 -2.390
-4.033 -2.428 1.105
Zr Hg Mg S
2 1 1 1
direct
0.500 0.000 0.000
0.000 0.000 0.500
0.500 0.500 0.500
0.000 0.500 0.000
0.000 0.000 0.000

=====

(2)
Ta2IrW, relaxed, DFT PBE; relative energy among the computed polymorphs = 0.932 eV per atom; crystal system = orthorhombic; ΔH_f (0 K) = 2.4 eV per formula unit; space group = Immm (71)
1.0
4.858 -1.564 -3.060
-1.294 4.937 3.060
-3.393 0.016 4.889
Ta W Ir
2 1 1
direct
0.000 0.737 0.737
0.000 0.263 0.263
0.000 0.000 0.000
0.000 0.500 0.500

=====

(3)
Cs2In2Bi, relaxed, DFT PBE; relative energy among the computed polymorphs = 0.401 eV per atom; crystal system = tetragonal; ΔH_f (0 K) = 1.0 eV per formula unit; space group = I4/mmm (139)
1.0
5.104 0.000 0.000
0.000 5.104 0.000
2.552 2.552 8.243
In Bi Cs
2 1 2
direct
0.416 0.416 0.169
0.584 0.584 0.831
0.000 0.000 0.000
0.750 0.250 0.500
0.250 0.750 0.500

=====

(4)
CaCe2ThP4, relaxed, DFT PBE; crystal system = monoclinic; ΔH_f (0 K) = -11.5 eV per formula unit; space group = P2/m (10)
1.0
-2.583 -1.870 -2.623
5.507 -3.436 -2.974
1.046 -6.186 3.380
P Ce Th Ca
4 2 1 1
direct
0.000 0.758 0.743
0.500 0.246 0.749
0.500 0.754 0.251
0.000 0.242 0.257
0.500 0.000 0.500
0.000 0.000 0.000
0.000 0.500 0.500
0.500 0.500 0.000

=====

(5)
La2SiH2, relaxed, DFT PBE; relative energy among the computed polymorphs = 0.000 eV per atom; crystal system = tetragonal; space group = I4/mmm (139)
1.0
-3.171 -2.308 -0.030
2.307 -3.170 0.108
-0.569 -2.631 6.161
Si La H
1 2 2
direct
0.000 0.000 0.000
0.635 0.635 0.730
0.365 0.365 0.270
0.250 0.750 0.500
0.750 0.250 0.500

=====

(6)
Na2TlPb3, relaxed, DFT PBE; relative energy among the computed polymorphs = 0.000 eV per atom; crystal system = orthorhombic; ΔH_f (0 K) = -0.5 eV per formula unit; space group = Pmm2 (25)
1.0
-2.196 -1.677 -1.895
1.004 -4.680 2.978
-7.033 2.351 6.067
Tl Pb Na
1 3 2
direct
0.500 0.500 0.330
0.500 0.000 0.834
0.500 0.000 0.171
0.500 0.500 0.665
0.000 0.500 0.001
0.000 0.000 0.499

=====

(7)
BaTaTl2, relaxed, DFT PBE; crystal system = tetragonal; ΔH_f (0 K) = 3.0 eV per formula unit; space group = I-4m2 (119)
1.0
6.225 0.005 0.000
2.741 5.589 0.000
-4.483 -2.797 3.291
Tl Ba Ta
2 1 1
direct
0.000 0.000 0.000
0.250 0.750 0.500
0.500 0.500 0.000
0.750 0.250 0.500

=====

(8)
LaCu3Hg, relaxed, DFT PBE; relative energy among the computed polymorphs = 0.000 eV per atom; crystal system = cubic; ΔH_f (0 K) = 1.5 eV per formula unit; space group = Pm-3m (221)
1.0
4.859 0.000 0.000
0.000 4.859 0.000
0.000 0.000 4.859
Hg Cu La
1 3 1
direct
0.000 0.000 0.000
0.000 0.500 0.000
0.500 0.000 0.000
0.000 0.000 0.500
0.500 0.500 0.500